5
Lattice="4.866 0.000 0.000 0.000 4.866 0.000 0.000 0.000 4.892" Properties=species:S:1:pos:R:3 comment="GGA-PBE HoEr2PbC, relaxed" dos_at_fermi_per_ev_fu=2.06 e_form_kcal_per_mol_atoms=-12.9 final_energy_ry_per_atom=-0.4325 pbc="T T T"
Ho 0.000 0.000 0.000
Er 0.000 2.433 2.446
Er 2.433 0.000 2.446
Pb 2.433 2.433 0.000
C 0.000 0.000 2.446

7
Lattice="-2.391 2.399 7.979 2.391 -2.399 7.979 2.391 2.399 -7.979" Properties=species:S:1:pos:R:3 comment="GGA-PBE HoEr3Pb2C, relaxed" dos_at_fermi_per_ev_fu=0.76 e_form_kcal_per_mol_atoms=-12.7 final_energy_ry_per_atom=-0.4071 pbc="T T T"
Ho 0.000 0.000 0.000
Er 2.391 0.000 5.483
Er 0.000 0.000 7.979
Er 0.000 2.399 2.496
Pb 2.391 0.000 2.281
Pb 0.000 2.399 5.698
C 0.000 2.399 0.000

7
Lattice="-2.370 2.370 7.836 2.370 -2.370 7.836 2.370 2.370 -7.836" Properties=species:S:1:pos:R:3 comment="GGA-PBE Ho2Er2Sb2C, relaxed" dos_at_fermi_per_ev_fu=5.87 final_energy_ry_per_atom=-0.4333 raw_formation_energy_ev_per_atom=-0.7877 pbc="T T T"
Ho 0.000 0.000 2.464
Ho 0.000 0.000 13.207
Er 2.370 0.000 0.000
Er 0.000 2.370 0.000
Sb 0.000 0.000 5.610
Sb 0.000 0.000 10.061
C 0.000 0.000 0.000

7
Lattice="-2.371 2.381 7.800 2.371 -2.381 7.800 2.371 2.381 -7.800" Properties=species:S:1:pos:R:3 comment="GGA-PBE HoEr3Sb2C, relaxed" dos_at_fermi_per_ev_fu=5.58 final_energy_ry_per_atom=-0.4318 raw_formation_energy_ev_per_atom=-0.7695 pbc="T T T"
Ho 0.000 0.000 0.000
Er 2.371 0.000 5.359
Er 0.000 0.000 7.800
Er 0.000 2.381 2.441
Sb 2.371 0.000 2.229
Sb 0.000 2.381 5.571
C 0.000 2.381 0.000

What did the first record say?
5
Lattice="4.866 0.000 0.000 0.000 4.866 0.000 0.000 0.000 4.892" Properties=species:S:1:pos:R:3 comment="GGA-PBE HoEr2PbC, relaxed" dos_at_fermi_per_ev_fu=2.06 e_form_kcal_per_mol_atoms=-12.9 final_energy_ry_per_atom=-0.4325 pbc="T T T"
Ho 0.000 0.000 0.000
Er 0.000 2.433 2.446
Er 2.433 0.000 2.446
Pb 2.433 2.433 0.000
C 0.000 0.000 2.446